! PBEsol SrNi2Ir, relaxed; values from VASP
&SYSTEM
  ibrav = 0, nat = 12, ntyp = 3
/
ATOMIC_SPECIES
Sr 87.62 Sr.upf
Ni 58.69 Ni.upf
Ir 192.22 Ir.upf
ATOMIC_POSITIONS crystal
Sr 0.000 0.000 0.000
Sr 0.333 0.667 0.667
Sr 0.667 0.333 0.333
Ni 0.000 0.000 0.239
Ni 0.000 0.000 0.761
Ni 0.333 0.667 0.428
Ni 0.333 0.667 0.906
Ni 0.667 0.333 0.094
Ni 0.667 0.333 0.572
Ir 0.000 0.000 0.500
Ir 0.333 0.667 0.167
Ir 0.667 0.333 0.833
CELL_PARAMETERS angstrom
2.799 0.000 0.000
-1.399 2.424 0.000
0.000 0.000 27.083
! final energy = -5.240 eV/atom
! formation enthalpy at 0 K = 0.754 eV/atom
! SG = No. 166
! size of the total moment = 0.00 μB/cell
! theoretical density = 10.77 Mg/m³

! PBEsol SrNi2Ir, relaxed; values from VASP
&SYSTEM
  ibrav = 0, nat = 8, ntyp = 3
/
ATOMIC_SPECIES
Sr 87.62 Sr.upf
Ni 58.69 Ni.upf
Ir 192.22 Ir.upf
ATOMIC_POSITIONS crystal
Sr 0.000 0.000 0.000
Sr 0.500 0.500 0.000
Ni 0.008 0.500 0.522
Ni 0.318 0.500 0.454
Ni 0.508 0.000 0.522
Ni 0.818 0.000 0.454
Ir 0.187 0.000 0.560
Ir 0.687 0.500 0.560
CELL_PARAMETERS angstrom
7.166 0.000 0.000
0.000 4.138 0.000
-2.400 0.000 5.189
! final energy = -6.067 eV/atom
! formation enthalpy at 0 K = -0.072 eV/atom
! SG = No. 8
! size of the total moment = 0.02 μB/cell
! theoretical density = 8.57 Mg/m³

! PBEsol SrNi2Ir, relaxed; values from VASP
&SYSTEM
  ibrav = 0, nat = 12, ntyp = 3
/
ATOMIC_SPECIES
Sr 87.62 Sr.upf
Ni 58.69 Ni.upf
Ir 192.22 Ir.upf
ATOMIC_POSITIONS crystal
Sr 0.000 0.000 0.000
Sr 0.333 0.667 0.667
Sr 0.667 0.333 0.333
Ni 0.000 0.000 0.186
Ni 0.000 0.000 0.814
Ni 0.333 0.667 0.481
Ni 0.333 0.667 0.853
Ni 0.667 0.333 0.147
Ni 0.667 0.333 0.519
Ir 0.000 0.000 0.500
Ir 0.333 0.667 0.167
Ir 0.667 0.333 0.833
CELL_PARAMETERS angstrom
4.147 0.000 0.000
-2.073 3.591 0.000
0.000 0.000 15.227
! final energy = -6.092 eV/atom
! formation enthalpy at 0 K = -0.097 eV/atom
! SG = No. 166
! size of the total moment = 2.06 μB/cell
! theoretical density = 8.73 Mg/m³

! PBEsol Ta2Ni2Ir, relaxed; values from VASP
&SYSTEM
  ibrav = 0, nat = 10, ntyp = 3
/
ATOMIC_SPECIES
Ta 180.95 Ta.upf
Ni 58.69 Ni.upf
Ir 192.22 Ir.upf
ATOMIC_POSITIONS crystal
Ta 0.177 0.323 0.000
Ta 0.323 0.823 0.000
Ta 0.677 0.177 0.000
Ta 0.823 0.677 0.000
Ni 0.124 0.624 0.500
Ni 0.376 0.124 0.500
Ni 0.624 0.876 0.500
Ni 0.876 0.376 0.500
Ir 0.000 0.000 0.500
Ir 0.500 0.500 0.500
CELL_PARAMETERS angstrom
6.679 0.000 0.000
0.000 6.679 0.000
0.000 0.000 3.101
! final energy = -9.884 eV/atom
! formation enthalpy at 0 K = -0.436 eV/atom
! SG = No. 127
! size of the total moment = 0.00 μB/cell
! theoretical density = 16.12 Mg/m³

! PBEsol Ta2NiIr, relaxed; values from VASP
&SYSTEM
  ibrav = 0, nat = 4, ntyp = 3
/
ATOMIC_SPECIES
Ta 180.95 Ta.upf
Ni 58.69 Ni.upf
Ir 192.22 Ir.upf
ATOMIC_POSITIONS crystal
Ta 0.000 0.000 0.000
Ta 0.167 0.500 0.622
Ni 0.597 0.000 0.493
Ir 0.577 0.500 0.141
CELL_PARAMETERS angstrom
2.801 0.000 0.000
0.000 4.476 0.000
-0.457 0.000 4.786
! final energy = -10.656 eV/atom
! formation enthalpy at 0 K = -0.385 eV/atom
! SG = No. 6
! size of the total moment = 0.00 μB/cell
! theoretical density = 16.96 Mg/m³

! PBEsol Ta2NiIr, relaxed; values from VASP
&SYSTEM
  ibrav = 0, nat = 4, ntyp = 3
/
ATOMIC_SPECIES
Ta 180.95 Ta.upf
Ni 58.69 Ni.upf
Ir 192.22 Ir.upf
ATOMIC_POSITIONS crystal
Ta 0.000 0.500 0.000
Ta 0.500 0.000 0.000
Ni 0.000 0.000 0.500
Ir 0.500 0.500 0.500
CELL_PARAMETERS angstrom
3.923 0.000 0.000
0.000 3.923 0.000
0.000 0.000 3.843
! final energy = -10.672 eV/atom
! formation enthalpy at 0 K = -0.402 eV/atom
! SG = No. 123
! size of the total moment = 0.00 μB/cell
! theoretical density = 17.21 Mg/m³

Question: Which of these has the highest final energy?
Answer: number 1

Question: The highest final energy belongs to which entry?
Answer: number 1